Entry 1:
DFT (PBE-GGA) results for a geometry-optimized AgSnP structure.

abc: 5.1161 5.1161 5.1161
angles: 136.30 136.30 63.51
With the nearest neighbours (Å) after each atom.
Atoms (fractional coordinates):
Ag: 0.0000 0.0000 0.0000  1 P 2.64, 1 Sn 2.82
Sn: 0.6764 0.6764 0.0000  5 Ag 2.82-3.10, 4 P 2.91
P: 0.3039 0.3039 0.0000  1 Ag 2.64, 4 Sn 2.91

Summary:
formation energy	85	kJ/mol of formula units
E	-3.80	eV per atom


Entry 2:
DFT (PBE-GGA) results for a geometry-optimized Ag3SnP structure.

abc: 5.1708 5.1708 5.1708
angles: 90.00 90.00 90.00
With the nearest neighbours (Å) after each atom.
Atoms (fractional coordinates):
Ag: 0.0000 0.0000 0.5000  2 Sn 2.59
Ag: 0.0000 0.5000 0.0000  2 Sn 2.59
Ag: 0.5000 0.0000 0.0000  2 Sn 2.59
Sn: 0.0000 0.0000 0.0000  6 Ag 2.59
P: 0.5000 0.5000 0.5000  12 Ag 3.66

Summary:
formation energy	502	kJ/mol of formula units
E	-2.55	eV per atom


Entry 3:
DFT (PBE-GGA) results for a geometry-optimized Ag2Sn2P structure.

abc: 8.4574 8.4574 3.0984
angles: 90.00 90.00 90.00
With the nearest neighbours (Å) after each atom.
Atoms (fractional coordinates):
Ag: 0.1130 0.3870 0.0000  1 Ag 2.70, 2 Sn 2.83
Ag: 0.3870 0.8870 0.0000  1 Ag 2.70, 2 Sn 2.83
Ag: 0.6130 0.1130 0.0000  1 Ag 2.70, 2 Sn 2.83
Ag: 0.8870 0.6130 0.0000  1 Ag 2.70, 2 Sn 2.83
Sn: 0.1890 0.6890 0.5000  6 Ag 2.83-3.06, 2 P 3.08, 2 Sn 3.10
Sn: 0.3110 0.1890 0.5000  6 Ag 2.83-3.06, 2 P 3.08, 2 Sn 3.10
Sn: 0.6890 0.8110 0.5000  6 Ag 2.83-3.06, 2 P 3.08, 2 Sn 3.10
Sn: 0.8110 0.3110 0.5000  6 Ag 2.83-3.06, 2 P 3.08, 2 Sn 3.10
P: 0.0000 0.0000 0.5000  4 Sn 3.08, 2 P 3.10
P: 0.5000 0.5000 0.5000  4 Sn 3.08, 2 P 3.10

Summary:
formation energy	155	kJ/mol of formula units
E	-3.50	eV per atom


Entry 4:
DFT (PBE-GGA) results for a geometry-optimized AgSnP structure.

abc: 3.8776 3.8776 4.9402
angles: 90.00 90.00 120.00
With the nearest neighbours (Å) after each atom.
Atoms (fractional coordinates):
Ag: 0.0000 0.0000 0.0000  3 P 2.69, 3 Sn 3.00
Sn: 0.6667 0.3333 0.4041  3 P 2.67
P: 0.3333 0.6667 0.6986  3 Sn 2.67, 3 Ag 2.69

Summary:
formation energy	33	kJ/mol of formula units
E	-3.97	eV per atom


Entry 5:
DFT (PBE-GGA) results for a geometry-optimized AgSnP structure.

abc: 6.6850 6.6850 7.0358
angles: 111.11 111.11 34.30
With the nearest neighbours (Å) after each atom.
Atoms (fractional coordinates):
Ag: 0.0623 0.0623 0.3759  2 P 2.54-2.65, 1 Sn 2.69, 1 Ag 2.77
Ag: 0.9377 0.9377 0.6241  2 P 2.54-2.65, 1 Sn 2.69, 1 Ag 2.77
Sn: 0.2120 0.2120 0.1907  3 P 2.58-2.68, 1 Ag 2.69
Sn: 0.7880 0.7880 0.8093  3 P 2.58-2.68, 1 Ag 2.69
P: 0.1524 0.1524 0.7831  2 Ag 2.54-2.65, 3 Sn 2.58-2.68
P: 0.8476 0.8476 0.2169  2 Ag 2.54-2.65, 3 Sn 2.58-2.68

Summary:
formation energy	29	kJ/mol of formula units
E	-3.99	eV per atom


Entry 6:
DFT (PBE-GGA) results for a geometry-optimized Ag2SnP2 structure.

abc: 5.9728 5.9728 5.9728
angles: 136.46 136.46 63.27
With the nearest neighbours (Å) after each atom.
Atoms (fractional coordinates):
Ag: 0.2500 0.7500 0.5000  4 P 2.65
Ag: 0.7500 0.2500 0.5000  4 P 2.65
Sn: 0.0000 0.0000 0.0000  8 P 3.32, 8 Ag 3.37
P: 0.3923 0.3923 0.0000  1 P 2.19
P: 0.6077 0.6077 0.0000  1 P 2.19

Summary:
formation energy	90	kJ/mol of formula units
E	-3.92	eV per atom


Entry 7:
DFT (PBE-GGA) results for a geometry-optimized SrAgSnP2 structure.

abc: 5.0340 5.0340 6.3332
angles: 90.00 90.00 90.00
With the nearest neighbours (Å) after each atom.
Atoms (fractional coordinates):
Sr: 0.0000 0.0000 0.0000  2 Sn 3.17
Ag: 0.5000 0.5000 0.0000  4 Sr 3.56
Sn: 0.0000 0.0000 0.5000  4 P 2.52
P: 0.0000 0.5000 0.5000  2 Sn 2.52
P: 0.5000 0.0000 0.5000  2 Sn 2.52

Summary:
formation energy	310	kJ/mol of formula units
E	-3.23	eV per atom


Entry 8:
DFT (PBE-GGA) results for a geometry-optimized SrAgSnP2 structure.

abc: 6.9766 6.9766 8.4950
angles: 102.42 102.42 41.38
With the nearest neighbours (Å) after each atom.
Atoms (fractional coordinates):
Sr: 0.1523 0.1523 0.2114  4 P 3.02-3.21, 1 Ag 3.25
Sr: 0.8477 0.8477 0.7886  4 P 3.02-3.21, 1 Ag 3.25
Ag: 0.1730 0.1730 0.5996  4 P 2.51-2.78
Ag: 0.8270 0.8270 0.4004  4 P 2.51-2.78
Sn: 0.4412 0.4412 0.2742  4 P 2.62-2.78
Sn: 0.5588 0.5588 0.7258  4 P 2.62-2.78
P: 0.0979 0.0979 0.8459  1 Ag 2.51, 2 Sn 2.67
P: 0.3648 0.3648 0.5534  2 Sn 2.62-2.78, 3 Ag 2.62-2.78
P: 0.6352 0.6352 0.4466  2 Sn 2.62-2.78, 3 Ag 2.62-2.78
P: 0.9021 0.9021 0.1541  1 Ag 2.51, 2 Sn 2.67

Summary:
formation energy	-147	kJ/mol of formula units
E	-4.18	eV per atom


Repeat the seventh record exactly.
DFT (PBE-GGA) results for a geometry-optimized SrAgSnP2 structure.

abc: 5.0340 5.0340 6.3332
angles: 90.00 90.00 90.00
With the nearest neighbours (Å) after each atom.
Atoms (fractional coordinates):
Sr: 0.0000 0.0000 0.0000  2 Sn 3.17
Ag: 0.5000 0.5000 0.0000  4 Sr 3.56
Sn: 0.0000 0.0000 0.5000  4 P 2.52
P: 0.0000 0.5000 0.5000  2 Sn 2.52
P: 0.5000 0.0000 0.5000  2 Sn 2.52

Summary:
formation energy	310	kJ/mol of formula units
E	-3.23	eV per atom